The following is a DFT calculation (PBE-GGA) of crystalline Al2Ni2Mo at its relaxed geometry.

abc: 7.060 7.060 2.625
angles: 90.00 90.00 90.00
Positions (direct):
Al 0.332 0.168 0.500
Al 0.668 0.832 0.500
Al 0.168 0.668 0.500
Al 0.832 0.332 0.500
Ni 0.373 0.873 0.000
Ni 0.127 0.373 0.000
Ni 0.873 0.627 0.000
Ni 0.627 0.127 0.000
Mo 0.500 0.500 0.000
Mo 0.000 0.000 0.000

Computed properties:
Energy relative to the elements = -330 meV/atom
Energy above the lowest structure with this stoichiometry = 0.004 eV per atom
DOS(E_F) = 0.77 states/eV per atom